No. 1
The following is a PBE calculation of crystalline Nd2CoPb at its relaxed geometry, from Alexandria via LeMat-Bulk.

V ... 375.11 Å³/cell
ΔE_f ... 0.04 eV per atom
Size of the total moment ... 0.00 μB/cell
Distance to the lowest polymorph of the same formula ... 0.258 eV per atom

Geometry as CIF:
```
data_Nd2CoPb
_chemical_formula_sum 'Nd6 Co3 Pb3'
_space_group_name_H-M_alt 'R -3 m'
_space_group_IT_number 166
_space_group_name_Hall '-R 3 2"'
_cell_length_a 3.8304
_cell_length_b 3.8304
_cell_length_c 29.5214
_cell_angle_alpha 90.00
_cell_angle_beta 90.00
_cell_angle_gamma 120.00
loop_
_atom_site_label
_atom_site_fract_x
_atom_site_fract_y
_atom_site_fract_z
Nd1 0.0000 0.0000 0.1130
Co1 0.0000 0.0000 0.5000
Pb1 0.0000 0.0000 0.0000
```

---

No. 2
The following is a PBE calculation of crystalline Ac3Th at its relaxed geometry, from Alexandria via LeMat-Bulk.

V ... 165.78 Å³/cell
ΔE_f ... 0.14 eV per atom
Size of the total moment ... 0.00 μB/cell
Distance to the lowest polymorph of the same formula ... 0.003 eV per atom

Geometry as CIF:
```
data_Ac3Th
_chemical_formula_sum 'Ac3 Th1'
_space_group_name_H-M_alt 'P m m 2'
_space_group_IT_number 25
_space_group_name_Hall 'P 2 -2'
_cell_length_a 3.864
_cell_length_b 6.322
_cell_length_c 6.786
_cell_angle_alpha 90.00
_cell_angle_beta 90.00
_cell_angle_gamma 90.00
loop_
_atom_site_label
_atom_site_fract_x
_atom_site_fract_y
_atom_site_fract_z
Ac1 0.000 0.000 0.000
Ac2 0.000 0.500 0.334
Ac3 0.500 0.500 0.808
Th1 0.500 0.000 0.490
```

---

No. 3
The following is a PBE calculation of crystalline Rb2Ti2Ag at its relaxed geometry, from Alexandria via LeMat-Bulk.

V ... 321.05 Å³/cell
ΔE_f ... 1.24 eV per atom
Size of the total moment ... 0.00 μB/cell
Distance to the lowest polymorph of the same formula ... 0.354 eV per atom

Geometry as CIF:
```
data_Rb2Ti2Ag
_chemical_formula_sum 'Rb4 Ti4 Ag2'
_space_group_name_H-M_alt 'I 4/m m m'
_space_group_IT_number 139
_space_group_name_Hall '-I 4 2'
_cell_length_a 4.438
_cell_length_b 4.438
_cell_length_c 16.300
_cell_angle_alpha 90.00
_cell_angle_beta 90.00
_cell_angle_gamma 90.00
loop_
_atom_site_label
_atom_site_fract_x
_atom_site_fract_y
_atom_site_fract_z
Rb1 0.000 0.500 0.250
Ti1 0.000 0.000 0.061
Ag1 0.000 0.000 0.500
```

---

No. 4
The following is a PBE calculation of crystalline LiTiSN2 at its relaxed geometry, from Alexandria via LeMat-Bulk.

Formation energy (no corrections) ... -0.0219 eV per atom
V ... 75.88 Å³/cell
Size of the total moment ... 2.20 μB/cell
Distance to the lowest polymorph of the same formula ... 0.000 eV per atom

Geometry as CIF:
```
data_LiTiSN2
_chemical_formula_sum 'Li1 Ti1 S1 N2'
_space_group_name_H-M_alt 'P 4/m m m'
_space_group_IT_number 123
_space_group_name_Hall '-P 4 2'
_cell_length_a 3.935
_cell_length_b 3.935
_cell_length_c 4.902
_cell_angle_alpha 90.00
_cell_angle_beta 90.00
_cell_angle_gamma 90.00
loop_
_atom_site_label
_atom_site_fract_x
_atom_site_fract_y
_atom_site_fract_z
Li1 0.000 0.000 0.000
Ti1 0.500 0.500 0.500
S1 0.500 0.500 0.000
N1 0.000 0.500 0.500
```

---

No. 5
The following is a PBE calculation of crystalline Mn3Ge3Se8 at its relaxed geometry, from Alexandria via LeMat-Bulk.

Formation energy (no corrections) ... -0.3138 eV per atom
V ... 1002.80 Å³/cell
Size of the total moment ... 33.18 μB/cell

Geometry as CIF:
```
data_Mn3Ge3Se8
_chemical_formula_sum 'Mn9 Ge9 Se24'
_space_group_name_H-M_alt 'R -3 m'
_space_group_IT_number 166
_space_group_name_Hall '-R 3 2"'
_cell_length_a 7.5610
_cell_length_b 7.5610
_cell_length_c 20.2546
_cell_angle_alpha 90.00
_cell_angle_beta 90.00
_cell_angle_gamma 120.00
loop_
_atom_site_label
_atom_site_fract_x
_atom_site_fract_y
_atom_site_fract_z
Mn1 0.0000 0.5000 0.0000
Ge1 0.0000 0.0000 0.1265
Ge2 0.0000 0.0000 0.5000
Se1 0.0000 0.0000 0.2697
Se2 0.0188 0.5094 0.2602
```

---

No. 6
The following is a PBE calculation of crystalline Cs2MgGe3Se8 at its relaxed geometry, from Alexandria via LeMat-Bulk.

Formation energy (no corrections) ... -0.7361 eV per atom
V ... 1941.19 Å³/cell
Size of the total moment ... 0.00 μB/cell

Geometry as CIF:
```
data_Cs2MgGe3Se8
_chemical_formula_sum 'Cs8 Mg4 Ge12 Se32'
_space_group_name_H-M_alt 'P 21 21 21'
_space_group_IT_number 19
_space_group_name_Hall 'P 2ac 2ab'
_cell_length_a 7.795
_cell_length_b 13.815
_cell_length_c 18.026
_cell_angle_alpha 90.00
_cell_angle_beta 90.00
_cell_angle_gamma 90.00
loop_
_atom_site_label
_atom_site_fract_x
_atom_site_fract_y
_atom_site_fract_z
Cs1 0.219 0.206 0.349
Cs2 0.241 0.131 0.943
Mg1 0.016 0.998 0.650
Ge1 0.014 0.529 0.349
Ge2 0.233 0.551 0.681
Ge3 0.240 0.549 0.021
Se1 0.001 0.916 0.046
Se2 0.005 0.118 0.761
Se3 0.005 0.920 0.259
Se4 0.013 0.108 0.532
Se5 0.213 0.382 0.643
Se6 0.233 0.127 0.150
Se7 0.233 0.380 0.058
Se8 0.238 0.376 0.847
```

---

No. 7
The following is a PBE calculation of crystalline Na3InI4 at its relaxed geometry, from Alexandria via LeMat-Bulk.

Formation energy (no corrections) ... -1.0154 eV per atom
V ... 727.74 Å³/cell
Size of the total moment ... 0.00 μB/cell
Distance to the lowest polymorph of the same formula ... 0.032 eV per atom

Geometry as CIF:
```
data_Na3InI4
_chemical_formula_sum 'Na6 In2 I8'
_space_group_name_H-M_alt 'P m m n'
_space_group_IT_number 59
_cell_length_a 6.719
_cell_length_b 11.109
_cell_length_c 9.749
_cell_angle_alpha 90.00
_cell_angle_beta 90.00
_cell_angle_gamma 90.00
loop_
_space_group_symop_operation_xyz
'x,y,z'
'-x,-y,-z'
'-x+1/2,-y+1/2,z'
'x+1/2,y+1/2,-z'
'x+1/2,-y,-z'
'-x+1/2,y,z'
'-x,y+1/2,-z'
'x,-y+1/2,z'
loop_
_atom_site_label
_atom_site_fract_x
_atom_site_fract_y
_atom_site_fract_z
Na1 0.250 0.002 0.165
Na2 0.250 0.250 0.670
In1 0.250 0.750 0.665
I1 0.250 0.014 0.844
I2 0.250 0.250 0.339
I3 0.250 0.750 0.313
```

---

No. 8
The following is a PBE calculation of crystalline Ho2Si4W3 at its relaxed geometry, from Alexandria via LeMat-Bulk.

Formation energy (no corrections) ... -0.5512 eV per atom
V ... 301.04 Å³/cell
Size of the total moment ... 0.00 μB/cell

Geometry as CIF:
```
data_Ho2Si4W3
_chemical_formula_sum 'Ho4 Si8 W6'
_space_group_name_H-M_alt 'P 1 21/c 1'
_space_group_IT_number 14
_space_group_name_Hall '-P 2ybc'
_cell_length_a 6.826
_cell_length_b 6.903
_cell_length_c 6.754
_cell_angle_alpha 90.00
_cell_angle_beta 108.93
_cell_angle_gamma 90.00
loop_
_atom_site_label
_atom_site_fract_x
_atom_site_fract_y
_atom_site_fract_z
Ho1 0.190 0.170 0.061
Si1 0.089 0.545 0.865
Si2 0.496 0.632 0.627
W1 0.250 0.660 0.248
W2 0.500 0.000 0.500
```

---

No. 9
The following is a PBE calculation of crystalline BAsH3 at its relaxed geometry, from Alexandria via LeMat-Bulk.

V ... 47.32 Å³/cell
Size of the total moment ... 0.00 μB/cell
Distance to the lowest polymorph of the same formula ... 1.098 eV per atom

Geometry as CIF:
```
data_BAsH3
_chemical_formula_sum 'B1 As1 H3'
_space_group_name_H-M_alt 'P m -3 m'
_space_group_IT_number 221
_space_group_name_Hall '-P 4 2 3'
_cell_length_a 3.617
_cell_length_b 3.617
_cell_length_c 3.617
_cell_angle_alpha 90.00
_cell_angle_beta 90.00
_cell_angle_gamma 90.00
loop_
_atom_site_label
_atom_site_fract_x
_atom_site_fract_y
_atom_site_fract_z
B1 0.000 0.000 0.000
As1 0.500 0.500 0.500
H1 0.000 0.500 0.500
```

---

No. 10
The following is a PBE calculation of crystalline RbCu2IrCl at its relaxed geometry, from Alexandria via LeMat-Bulk.

Formation energy (no corrections) ... 2.1657 eV per atom
V ... 142.95 Å³/cell
Size of the total moment ... 0.00 μB/cell

Geometry as CIF:
```
data_RbCu2IrCl
_chemical_formula_sum 'Rb1 Cu2 Ir1 Cl1'
_space_group_name_H-M_alt 'P 4/m m m'
_space_group_IT_number 123
_space_group_name_Hall '-P 4 2'
_cell_length_a 5.342
_cell_length_b 5.342
_cell_length_c 5.010
_cell_angle_alpha 90.00
_cell_angle_beta 90.00
_cell_angle_gamma 90.00
loop_
_atom_site_label
_atom_site_fract_x
_atom_site_fract_y
_atom_site_fract_z
Rb1 0.000 0.000 0.000
Cu1 0.000 0.500 0.000
Ir1 0.000 0.000 0.500
Cl1 0.500 0.500 0.500
```